! PBE-GGA Li3Ag3Au2, relaxed; values from VASP
&SYSTEM
  ibrav = 0, nat = 8, ntyp = 3
/
ATOMIC_SPECIES
Au 196.97 Au.upf
Li 6.94 Li.upf
Ag 107.87 Ag.upf
CELL_PARAMETERS angstrom
-1.096 4.539 2.111
-4.236 -1.824 2.235
2.939 -1.373 3.967
ATOMIC_POSITIONS angstrom
Au 0.775 -0.304 4.066
Au -3.168 1.645 4.247
Li -1.983 -0.924 4.187
Li -0.734 1.465 5.680
Li -0.871 1.472 2.602
Ag 1.401 2.406 4.620
Ag -3.482 -0.298 2.205
Ag -0.311 -0.767 1.488
! uncorrected energy = -2.8876 eV/atom
! distance to the lowest polymorph of the same formula = 0.19 eV per formula unit
! formation enthalpy at 0 K = -0.281 eV per atom

=====

! PBE-GGA Li12AgAu6, relaxed; values from VASP
&SYSTEM
  ibrav = 0, nat = 19, ntyp = 3
/
ATOMIC_SPECIES
Li 6.94 Li.upf
Au 196.97 Au.upf
Ag 107.87 Ag.upf
CELL_PARAMETERS angstrom
6.819 0.442 0.529
-0.597 6.807 0.529
-0.597 -0.696 6.792
ATOMIC_POSITIONS angstrom
Li 2.776 3.975 1.866
Li 3.508 1.238 3.626
Li 4.815 3.924 7.459
Li 2.848 2.577 5.983
Li -0.207 0.787 2.656
Li 2.475 0.170 1.249
Li 2.116 5.314 4.223
Li 0.692 2.915 4.245
Li 4.932 3.638 3.605
Li 3.149 6.383 6.601
Li 5.832 5.766 5.194
Li 0.809 2.628 0.390
Au 0.256 4.705 2.313
Au 1.380 0.471 5.043
Au 5.368 1.847 5.536
Au 4.244 6.082 2.807
Au 1.012 4.449 6.485
Au 4.612 2.104 1.364
Ag 0.000 0.000 0.000
! uncorrected energy = -2.7964 eV/atom
! formation enthalpy at 0 K = -0.403 eV per atom

=====

! PBE-GGA Li2Ag15Au2, relaxed; values from VASP
&SYSTEM
  ibrav = 0, nat = 19, ntyp = 3
/
ATOMIC_SPECIES
Ag 107.87 Ag.upf
Li 6.94 Li.upf
Au 196.97 Au.upf
CELL_PARAMETERS angstrom
7.129 -0.247 1.382
1.093 7.050 1.382
-0.299 -0.247 7.256
ATOMIC_POSITIONS angstrom
Ag 6.243 2.080 4.063
Ag 3.213 5.743 4.063
Ag 5.156 2.138 1.382
Ag 4.701 -0.247 3.302
Ag 0.546 3.525 0.691
Ag 1.681 4.475 5.956
Ag 0.156 2.138 5.335
Ag 0.638 4.664 3.302
Ag 2.515 2.080 7.011
Ag 4.711 0.813 5.956
Ag 3.565 -0.124 0.691
Ag 5.409 4.475 3.008
Ag 2.130 -0.247 5.335
Ag 3.066 4.664 1.382
Ag -0.149 -0.124 3.628
Li 0.784 0.649 0.991
Li 7.139 5.907 9.028
Au 5.680 4.699 7.182
Au 2.244 1.856 2.837
! uncorrected energy = -2.7115 eV/atom
! formation enthalpy at 0 K = 0.086 eV per atom

=====

! PBE-GGA LiAg2Au, relaxed; values from VASP
&SYSTEM
  ibrav = 0, nat = 4, ntyp = 3
/
ATOMIC_SPECIES
Ag 107.87 Ag.upf
Li 6.94 Li.upf
Au 196.97 Au.upf
CELL_PARAMETERS angstrom
-5.998 4.055 -5.830
-7.847 2.189 -4.476
-7.250 4.817 -3.264
ATOMIC_POSITIONS angstrom
Ag -10.465 5.488 -6.732
Ag -0.082 0.043 -0.053
Li -15.821 8.296 -10.178
Au -5.274 2.765 -3.393
! uncorrected energy = -2.7891 eV/atom
! formation enthalpy at 0 K = -0.066 eV per atom